Rb2TlHg2 PBE relaxed; E above lowest polymorph = 0.000 eV per atom; total magnetic moment = 0.00 μB per formula unit; crystal system = monoclinic; formation energy = -196 meV per atom
1.0
7.2082 -0.0002 0.0000
-3.6043 6.3067 0.2674
0.0001 -2.4596 8.8328
Rb Tl Hg
4 2 4
Direct
0.5154 0.2962 0.1422
0.2193 0.7038 0.3578
0.4846 0.7038 0.8578
0.7807 0.2962 0.6422
0.8865 0.0000 0.2500
0.1135 0.0000 0.7500
0.7191 0.7262 0.4983
0.9929 0.2738 0.0017
0.2809 0.2738 0.5017
0.0071 0.7262 0.9983

---

Rb2Tl3Hg9 PBE relaxed; total magnetic moment = 0.00 μB per formula unit; crystal system = orthorhombic; formation energy = -113 meV per atom
1.0
-1.4643 4.6199 -8.3438
3.9629 -8.7969 0.1300
-10.0796 -4.5519 -0.7514
Rb Tl Hg
4 6 18
Direct
0.6742 0.9925 0.2500
0.3258 0.0075 0.7500
0.9925 0.6742 0.2500
0.0075 0.3258 0.7500
0.0000 0.0000 0.0000
0.0000 0.0000 0.5000
0.3112 0.6888 0.0000
0.6888 0.3112 0.5000
0.6888 0.3112 0.0000
0.3112 0.6888 0.5000
0.1610 0.1610 0.2500
0.8390 0.8390 0.7500
0.3425 0.3425 0.5486
0.6575 0.6575 0.0486
0.3425 0.3425 0.9514
0.6575 0.6575 0.4514
0.5572 0.3651 0.2500
0.4428 0.6349 0.7500
0.3651 0.5572 0.2500
0.6349 0.4428 0.7500
0.3411 0.0215 0.0901
0.6589 0.9785 0.5901
0.0215 0.3411 0.4099
0.9785 0.6589 0.9099
0.6589 0.9785 0.9099
0.3411 0.0215 0.4099
0.9785 0.6589 0.5901
0.0215 0.3411 0.0901

---

RbTlHg3 PBE relaxed; E above lowest polymorph = 0.454 eV per atom; total magnetic moment = 0.00 μB per formula unit; crystal system = cubic; formation energy = 311 meV per atom
1.0
6.4659 0.0000 0.0000
0.0000 6.4659 0.0000
0.0000 0.0000 6.4659
Tl Hg Rb
1 3 1
Direct
0.5000 0.5000 0.5000
0.0000 0.5000 0.0000
0.0000 0.0000 0.5000
0.5000 0.0000 0.0000
0.0000 0.0000 0.0000

---

RbTl4Hg15 PBE relaxed; total magnetic moment = 0.00 μB per formula unit; crystal system = tetragonal; formation energy = -66 meV per atom
1.0
-3.2532 -3.9181 0.3125
1.0961 -0.5149 4.9564
-16.8650 14.4200 5.2277
Rb Tl Hg
1 4 15
Direct
0.0000 0.0000 0.0000
0.0000 0.0000 0.2158
0.0000 0.0000 0.4008
0.0000 0.0000 0.5992
0.0000 0.0000 0.7842
0.5000 0.5000 0.0000
0.5000 0.5000 0.2095
0.5000 0.5000 0.4024
0.5000 0.5000 0.5976
0.5000 0.5000 0.7905
0.5000 0.0000 0.1135
0.5000 0.0000 0.3069
0.5000 0.0000 0.5000
0.5000 0.0000 0.6931
0.5000 0.0000 0.8865
0.0000 0.5000 0.1135
0.0000 0.5000 0.3069
0.0000 0.5000 0.5000
0.0000 0.5000 0.6931
0.0000 0.5000 0.8865

---

Rb2Tl6Hg PBE relaxed; E above lowest polymorph = 0.000 eV per atom; total magnetic moment = 0.00 μB per formula unit; crystal system = monoclinic; formation energy = -82 meV per atom
1.0
-5.2950 -2.2145 -5.0722
4.4956 -4.4062 3.0139
-4.4051 -1.8742 5.4169
Rb Tl Hg
2 6 1
Direct
0.6719 0.3438 0.1332
0.3281 0.6562 0.8668
0.8197 0.1993 0.6593
0.8536 0.7071 0.6631
0.3795 0.1993 0.6593
0.1803 0.8007 0.3407
0.1464 0.2929 0.3369
0.6205 0.8007 0.3407
0.0000 0.0000 0.0000

---

RbTl11Hg PBE relaxed; total magnetic moment = 0.00 μB per formula unit; crystal system = monoclinic; formation energy = -15 meV per atom
1.0
6.0279 0.0051 2.5113
2.9533 8.0707 1.2304
-0.0991 0.0026 8.7280
Rb Tl Hg
1 11 1
Direct
0.0000 0.0000 0.0000
0.2909 0.2172 0.2120
0.7091 0.7828 0.7880
0.4971 0.7828 0.2120
0.5029 0.2172 0.7880
0.3581 0.6402 0.6434
0.6419 0.3598 0.3566
0.9985 0.3598 0.6434
0.0015 0.6402 0.3566
0.0000 0.5000 0.0000
0.5000 0.0000 0.5000
0.0000 0.0000 0.5000
0.5000 0.5000 0.0000

---

RbTl6Hg PBE relaxed; total magnetic moment = 0.00 μB per formula unit; crystal system = tetragonal; formation energy = -19 meV per atom
1.0
5.4807 0.0000 0.0000
0.0000 5.4807 0.0000
0.0000 0.0000 9.4894
Rb Tl Hg
1 6 1
Direct
0.0000 0.0000 0.0000
0.5000 0.0000 0.6730
0.0000 0.5000 0.6730
0.5000 0.5000 0.1607
0.5000 0.5000 0.8393
0.0000 0.5000 0.3270
0.5000 0.0000 0.3270
0.0000 0.0000 0.5000

---

RbTl2ZnHg PBE relaxed; total magnetic moment = 0.00 μB per formula unit; crystal system = tetragonal; formation energy = 36 meV per atom
1.0
5.5332 0.0000 0.0000
0.0000 5.5332 0.0000
0.0000 0.0000 5.5115
Zn Tl Hg Rb
1 2 1 1
Direct
0.0000 0.0000 0.0000
0.0000 0.5000 0.0000
0.5000 0.0000 0.0000
0.0000 0.0000 0.5000
0.5000 0.5000 0.5000